The following is a PBE-GGA calculation of a geometry-optimized Cs2B2PbS6 structure, from Alexandria via LeMat-Bulk.

The space group is C2/m (No. 12) and the conventional cell measures 11.618, 6.666 and 9.264 Å, with angles of 90.00, 111.91 and 90.00 degrees. The inequivalent atoms are Cs at (0.188, 0.000, 0.134), B at (0.060, 0.500, 0.327), Pb at (0.000, 0.000, 0.500), S at (0.023, 0.268, 0.747) and S at (0.219, 0.500, 0.466).

As for the crystal system: monoclinic. As for the energy relative to the elements, uncorrected: -0.574 eV per atom. The calculation puts the final energy at -0.167 Ha/atom.


The following is a PBE-GGA calculation of a geometry-optimized CsScBPb2 structure, from Alexandria via LeMat-Bulk.

The space group is P4/mmm (No. 123) and the conventional cell measures 5.176, 5.176 and 5.502 Å, with angles of 90.00, 90.00 and 90.00 degrees. The inequivalent atoms are Cs at (0.000, 0.000, 0.000), Sc at (0.500, 0.500, 0.000), B at (0.000, 0.000, 0.500) and Pb at (0.000, 0.500, 0.500).

As for the crystal system: tetragonal. As for the formation energy: 0.94 eV per atom. The calculation puts the final energy at -0.122 Ha/atom.


The following is a PBE-GGA calculation of a geometry-optimized CsScBPb2 structure, from Alexandria via LeMat-Bulk.

The space group is P4/mmm (No. 123) and the conventional cell measures 5.545, 5.545 and 4.825 Å, with angles of 90.00, 90.00 and 90.00 degrees. The inequivalent atoms are Cs at (0.000, 0.000, 0.000), Sc at (0.500, 0.500, 0.000), B at (0.500, 0.500, 0.500) and Pb at (0.000, 0.500, 0.500).

As for the crystal system: tetragonal. As for the formation energy: 0.54 eV per atom. The calculation puts the final energy at -0.137 Ha/atom.